# AcB2Rh3 (PBE, optimized geometry)
# E_form (eV per atom): -0.195
# E_tot (eV/atom): -6.7810
data_AcB2Rh3
_cell_length_a 9.3833
_cell_length_b 9.3833
_cell_length_c 3.5229
_cell_angle_alpha 90.00
_cell_angle_beta 90.00
_cell_angle_gamma 120.00
_space_group_name_H-M_alt 'P 6/m m m'
_space_group_IT_number 191
_space_group_name_Hall '-P 6 2'
loop_
_atom_site_label
_atom_site_fract_x
_atom_site_fract_y
_atom_site_fract_z
Ac1 0.0000 0.0000 0.0000
Ac2 0.3333 0.6667 0.5000
B1 0.1795 0.3591 0.0000
Rh1 0.0000 0.2841 0.5000
Rh2 0.0000 0.5000 0.0000

# Ac2NiIr2 (PBE, optimized geometry)
# E_form (eV per atom): -0.482
# E_tot (eV/atom): -6.8256
data_Ac2NiIr2
_cell_length_a 11.370
_cell_length_b 4.262
_cell_length_c 11.054
_cell_angle_alpha 90.00
_cell_angle_beta 115.10
_cell_angle_gamma 90.00
_space_group_name_H-M_alt 'C 1 2/m 1'
_space_group_IT_number 12
_space_group_name_Hall '-C 2y'
loop_
_atom_site_label
_atom_site_fract_x
_atom_site_fract_y
_atom_site_fract_z
Ac1 0.098 0.000 0.398
Ac2 0.206 0.500 0.147
Ni1 0.072 0.500 0.819
Ir1 0.039 0.000 0.908
Ir2 0.117 0.500 0.614

# DyZnNiSn (PBE, optimized geometry)
# E_form (eV per atom): -0.374
# E_tot (eV/atom): -4.2890
data_DyZnNiSn
_cell_length_a 6.667
_cell_length_b 6.667
_cell_length_c 6.667
_cell_angle_alpha 90.00
_cell_angle_beta 90.00
_cell_angle_gamma 90.00
_space_group_name_H-M_alt 'F -4 3 m'
_space_group_IT_number 216
_space_group_name_Hall 'F -4 2 3'
loop_
_atom_site_label
_atom_site_fract_x
_atom_site_fract_y
_atom_site_fract_z
Dy1 0.000 0.000 0.000
Zn1 0.250 0.250 0.750
Ni1 0.250 0.250 0.250
Sn1 0.000 0.000 0.500

# CePrTmLu (PBE, optimized geometry)
# E_form (eV per atom): 0.135
# E_tot (eV/atom): -4.7915
data_CePrTmLu
_cell_length_a 7.991
_cell_length_b 7.991
_cell_length_c 7.991
_cell_angle_alpha 90.00
_cell_angle_beta 90.00
_cell_angle_gamma 90.00
_space_group_name_H-M_alt 'F -4 3 m'
_space_group_IT_number 216
_space_group_name_Hall 'F -4 2 3'
loop_
_atom_site_label
_atom_site_fract_x
_atom_site_fract_y
_atom_site_fract_z
Ce1 0.000 0.000 0.000
Pr1 0.000 0.000 0.500
Tm1 0.250 0.250 0.250
Lu1 0.250 0.250 0.750

# Sc2CrHg (PBE, optimized geometry)
# E_form (eV per atom): 0.079
# E_tot (eV/atom): -5.5685
data_Sc2CrHg
_cell_length_a 3.313
_cell_length_b 4.138
_cell_length_c 6.083
_cell_angle_alpha 90.00
_cell_angle_beta 90.00
_cell_angle_gamma 90.00
_space_group_name_H-M_alt 'P m m 2'
_space_group_IT_number 25
_space_group_name_Hall 'P 2 -2'
loop_
_atom_site_label
_atom_site_fract_x
_atom_site_fract_y
_atom_site_fract_z
Sc1 0.000 0.000 0.000
Sc2 0.500 0.500 0.298
Cr1 0.000 0.000 0.495
Hg1 0.500 0.500 0.771

# KBiPb2 (PBE, optimized geometry)
# E_form (eV per atom): 0.126
# E_tot (eV/atom): -2.9731
data_KBiPb2
_cell_length_a 3.8763
_cell_length_b 3.8763
_cell_length_c 35.8055
_cell_angle_alpha 90.00
_cell_angle_beta 90.00
_cell_angle_gamma 120.00
_space_group_name_H-M_alt 'R -3 m'
_space_group_IT_number 166
_space_group_name_Hall '-R 3 2"'
loop_
_atom_site_label
_atom_site_fract_x
_atom_site_fract_y
_atom_site_fract_z
K1 0.0000 0.0000 0.0000
Bi1 0.0000 0.0000 0.5000
Pb1 0.0000 0.0000 0.0991

# PrSmErTh (PBE, optimized geometry)
# E_form (eV per atom): 0.156
# E_tot (eV/atom): -5.2146
data_PrSmErTh
_cell_length_a 8.103
_cell_length_b 8.103
_cell_length_c 8.103
_cell_angle_alpha 90.00
_cell_angle_beta 90.00
_cell_angle_gamma 90.00
_space_group_name_H-M_alt 'F -4 3 m'
_space_group_IT_number 216
_space_group_name_Hall 'F -4 2 3'
loop_
_atom_site_label
_atom_site_fract_x
_atom_site_fract_y
_atom_site_fract_z
Pr1 0.000 0.000 0.000
Sm1 0.250 0.250 0.750
Er1 0.250 0.250 0.250
Th1 0.000 0.000 0.500

# Ba2TbGeS5 (PBE, optimized geometry)
# Formation energy from raw total energies (kJ/mol of atoms): -157
# E_tot (eV/atom): -5.3762
data_Ba2TbGeS5
_cell_length_a 4.314
_cell_length_b 17.987
_cell_length_c 12.779
_cell_angle_alpha 90.00
_cell_angle_beta 90.00
_cell_angle_gamma 90.00
_space_group_name_H-M_alt 'C m c 21'
_space_group_IT_number 36
_space_group_name_Hall 'C 2c -2'
loop_
_atom_site_label
_atom_site_fract_x
_atom_site_fract_y
_atom_site_fract_z
Ba1 0.000 0.120 0.000
Ba2 0.000 0.127 0.643
Tb1 0.000 0.203 0.342
Ge1 0.000 0.446 0.750
S1 0.000 0.042 0.327
S2 0.000 0.299 0.977
S3 0.000 0.319 0.693
S4 0.000 0.348 0.323
S5 0.000 0.500 0.090

# CaGePd (PBE, optimized geometry)
# E_form (eV per atom): -0.587
# E_tot (eV/atom): -4.5244
data_CaGePd
_cell_length_a 3.457
_cell_length_b 3.457
_cell_length_c 10.310
_cell_angle_alpha 90.00
_cell_angle_beta 90.00
_cell_angle_gamma 90.00
_space_group_name_H-M_alt 'I 4 m m'
_space_group_IT_number 107
_space_group_name_Hall 'I 4 -2'
loop_
_atom_site_label
_atom_site_fract_x
_atom_site_fract_y
_atom_site_fract_z
Ca1 0.000 0.000 0.000
Ge1 0.000 0.000 0.698
Pd1 0.000 0.000 0.295

# Hf2RhC (PBE, optimized geometry)
# E_form (eV per atom): -0.365
# E_tot (eV/atom): -9.4859
data_Hf2RhC
_cell_length_a 3.1978
_cell_length_b 3.1978
_cell_length_c 22.6095
_cell_angle_alpha 90.00
_cell_angle_beta 90.00
_cell_angle_gamma 120.00
_space_group_name_H-M_alt 'R -3 m'
_space_group_IT_number 166
_space_group_name_Hall '-R 3 2"'
loop_
_atom_site_label
_atom_site_fract_x
_atom_site_fract_y
_atom_site_fract_z
Hf1 0.0000 0.0000 0.1103
Rh1 0.0000 0.0000 0.0000
C1 0.0000 0.0000 0.5000

# Li2ThPd2 (PBE, optimized geometry)
# E_form (eV per atom): -0.551
# E_tot (eV/atom): -4.8774
data_Li2ThPd2
_cell_length_a 5.386
_cell_length_b 5.396
_cell_length_c 13.405
_cell_angle_alpha 90.00
_cell_angle_beta 90.00
_cell_angle_gamma 90.00
_space_group_name_H-M_alt 'F m m m'
_space_group_IT_number 69
_space_group_name_Hall '-F 2 2'
loop_
_atom_site_label
_atom_site_fract_x
_atom_site_fract_y
_atom_site_fract_z
Li1 0.250 0.250 0.250
Th1 0.000 0.000 0.000
Pd1 0.000 0.000 0.396

# Tb6Nd2Sm3Sc (PBE, optimized geometry)
# E_form (eV per atom): 0.024
# E_tot (eV/atom): -4.7935
data_Tb6Nd2Sm3Sc
_cell_length_a 6.187
_cell_length_b 10.711
_cell_length_c 11.855
_cell_angle_alpha 90.00
_cell_angle_beta 99.99
_cell_angle_gamma 90.00
_space_group_name_H-M_alt 'C 1 2/m 1'
_space_group_IT_number 12
_space_group_name_Hall '-C 2y'
loop_
_atom_site_label
_atom_site_fract_x
_atom_site_fract_y
_atom_site_fract_z
Tb1 0.247 0.165 0.248
Tb2 0.248 0.000 0.751
Nd1 0.000 0.334 0.000
Sm1 0.000 0.166 0.500
Sm2 0.000 0.500 0.500
Sc1 0.000 0.000 0.000

# LiEr2Cd3 (PBE, optimized geometry)
# E_form (eV per atom): -0.272
# E_tot (eV/atom): -2.5692
data_LiEr2Cd3
_cell_length_a 5.1289
_cell_length_b 5.1289
_cell_length_c 12.4926
_cell_angle_alpha 90.00
_cell_angle_beta 90.00
_cell_angle_gamma 120.00
_space_group_name_H-M_alt 'P -3 m 1'
_space_group_IT_number 164
_space_group_name_Hall '-P 3 2"'
loop_
_atom_site_label
_atom_site_fract_x
_atom_site_fract_y
_atom_site_fract_z
Li1 0.3333 0.6667 0.1641
Er1 0.0000 0.0000 0.0000
Er2 0.0000 0.0000 0.5000
Er3 0.3333 0.6667 0.6723
Cd1 0.0000 0.0000 0.2451
Cd2 0.3333 0.6667 0.4080
Cd3 0.3333 0.6667 0.9227

# PmNdAlPt (PBE, optimized geometry)
# E_form (eV per atom): -0.757
# E_tot (eV/atom): -5.5824
data_PmNdAlPt
_cell_length_a 4.245
_cell_length_b 4.359
_cell_length_c 11.009
_cell_angle_alpha 90.00
_cell_angle_beta 90.00
_cell_angle_gamma 90.00
_space_group_name_H-M_alt 'A m m 2'
_space_group_IT_number 38
_space_group_name_Hall 'A 2 -2'
loop_
_atom_site_label
_atom_site_fract_x
_atom_site_fract_y
_atom_site_fract_z
Pm1 0.000 0.000 0.000
Nd1 0.500 0.000 0.710
Al1 0.000 0.000 0.294
Pt1 0.500 0.000 0.434

# Nd2MgHPd6 (PBE, optimized geometry)
# E_tot (eV/atom): -5.1869
data_Nd2MgHPd6
_cell_length_a 10.035
_cell_length_b 5.791
_cell_length_c 7.027
_cell_angle_alpha 90.00
_cell_angle_beta 118.45
_cell_angle_gamma 90.00
_space_group_name_H-M_alt 'C 1 2/m 1'
_space_group_IT_number 12
_space_group_name_Hall '-C 2y'
loop_
_atom_site_label
_atom_site_fract_x
_atom_site_fract_y
_atom_site_fract_z
Nd1 0.231 0.000 0.192
Mg1 0.000 0.500 0.000
H1 0.000 0.000 0.500
Pd1 0.021 0.249 0.317
Pd2 0.227 0.000 0.683

# NbMoSe (PBE, optimized geometry)
# Formation energy from raw total energies (kJ/mol of atoms): -20
# E_tot (eV/atom): -8.3346
data_NbMoSe
_cell_length_a 9.520
_cell_length_b 3.240
_cell_length_c 7.148
_cell_angle_alpha 90.00
_cell_angle_beta 101.62
_cell_angle_gamma 90.00
_space_group_name_H-M_alt 'C 1 2/m 1'
_space_group_IT_number 12
_space_group_name_Hall '-C 2y'
loop_
_atom_site_label
_atom_site_fract_x
_atom_site_fract_y
_atom_site_fract_z
Nb1 0.091 0.000 0.239
Mo1 0.135 0.500 0.923
Se1 0.174 0.000 0.649

# Hg13Cl2 (PBE, optimized geometry)
# Formation energy from raw total energies (kJ/mol of atoms): -6
# E_tot (eV/atom): -0.5742
data_Hg13Cl2
_cell_length_a 8.5389
_cell_length_b 8.5389
_cell_length_c 25.5431
_cell_angle_alpha 90.00
_cell_angle_beta 90.00
_cell_angle_gamma 120.00
_space_group_name_H-M_alt 'R -3 m'
_space_group_IT_number 166
_space_group_name_Hall '-R 3 2"'
loop_
_atom_site_label
_atom_site_fract_x
_atom_site_fract_y
_atom_site_fract_z
Hg1 0.0000 0.0000 0.0000
Hg2 0.0040 0.5020 0.9422
Hg3 0.0101 0.5050 0.2058
Cl1 0.0000 0.0000 0.1909

# Nd2CuB3Pt12 (PBE, optimized geometry)
# E_form (eV per atom): -0.391
# E_tot (eV/atom): -6.2881
data_Nd2CuB3Pt12
_cell_length_a 7.9561
_cell_length_b 7.9561
_cell_length_c 17.3514
_cell_angle_alpha 90.00
_cell_angle_beta 90.00
_cell_angle_gamma 120.00
_space_group_name_H-M_alt 'R -3 m'
_space_group_IT_number 166
_space_group_name_Hall '-R 3 2"'
loop_
_atom_site_label
_atom_site_fract_x
_atom_site_fract_y
_atom_site_fract_z
Nd1 0.0000 0.0000 0.1081
Cu1 0.0000 0.0000 0.5000
B1 0.0000 0.5000 0.0000
Pt1 0.0017 0.5009 0.1210
Pt2 0.0573 0.5287 0.3547

# Ba3PmZr2O9 (PBE, optimized geometry)
# Formation energy from raw total energies (kJ/mol of atoms): -289
# E_tot (eV/atom): -7.8152
data_Ba3PmZr2O9
_cell_length_a 6.1658
_cell_length_b 6.1658
_cell_length_c 7.5914
_cell_angle_alpha 90.00
_cell_angle_beta 90.00
_cell_angle_gamma 120.00
_space_group_name_H-M_alt 'P -3 m 1'
_space_group_IT_number 164
_space_group_name_Hall '-P 3 2"'
loop_
_atom_site_label
_atom_site_fract_x
_atom_site_fract_y
_atom_site_fract_z
Ba1 0.0000 0.0000 0.0000
Ba2 0.3333 0.6667 0.6725
Pm1 0.0000 0.0000 0.5000
Zr1 0.3333 0.6667 0.1621
O1 0.0000 0.5000 0.0000
O2 0.1737 0.3474 0.3194

# MgFeBr2 (PBE, optimized geometry)
# Formation energy from raw total energies (kJ/mol of atoms): -21
# E_tot (eV/atom): -3.5645
data_MgFeBr2
_cell_length_a 4.582
_cell_length_b 4.836
_cell_length_c 8.731
_cell_angle_alpha 90.00
_cell_angle_beta 90.00
_cell_angle_gamma 90.00
_space_group_name_H-M_alt 'C m m 2'
_space_group_IT_number 35
_space_group_name_Hall 'C 2 -2'
loop_
_atom_site_label
_atom_site_fract_x
_atom_site_fract_y
_atom_site_fract_z
Mg1 0.000 0.000 0.000
Fe1 0.000 0.500 0.228
Br1 0.000 0.000 0.381
Br2 0.000 0.500 0.821